This record from Alexandria via LeMat-Bulk describes a relaxed structure of YBe2. The functional is PBE-GGA.

Unit cell a=5.5668 b=5.5668 c=4.2670 alpha=90.00 beta=90.00 gamma=135.27
With the nearest neighbours (Å) after each atom.
Fractional positions:
Y 0.2347 0.7653 0.7500  8 Be 2.84-3.08, 4 Y 3.02
Y 0.7653 0.2347 0.2500  8 Be 2.84-3.08, 4 Y 3.02
Be 0.0522 0.9478 0.2500  4 Be 2.29-2.39
Be 0.4665 0.5335 0.2500  4 Be 2.24-2.29
Be 0.5335 0.4665 0.7500  4 Be 2.24-2.29
Be 0.9478 0.0522 0.7500  4 Be 2.29-2.39

formation energy = 6.061 kcal/mol of atoms
uncorrected energy = -4.376 eV/atom
total moment = 0.000 μB per formula unit


This record from Alexandria via LeMat-Bulk describes a relaxed structure of HfTa3Si. The functional is PBE-GGA.

Unit cell a=4.8778 b=4.8778 c=4.8778 alpha=90.00 beta=90.00 gamma=90.00
With the nearest neighbours (Å) after each atom.
Fractional positions:
Hf 0.0000 0.0000 0.0000  6 Ta 2.44
Ta 0.0000 0.0000 0.5000  2 Hf 2.44
Ta 0.0000 0.5000 0.0000  2 Hf 2.44
Ta 0.5000 0.0000 0.0000  2 Hf 2.44
Si 0.5000 0.5000 0.5000  12 Ta 3.45

uncorrected formation energy = 2.08 eV per atom
ΔE to the lowest computed polymorph = 1.550 eV/atom
uncorrected energy = -8.107 eV/atom
total moment = 0.000 μB per formula unit


This record from Alexandria via LeMat-Bulk describes a relaxed structure of Cr2FeHg. The functional is PBE-GGA.

Unit cell a=3.1374 b=3.1374 c=5.7725 alpha=90.00 beta=90.00 gamma=90.00
With the nearest neighbours (Å) after each atom.
Fractional positions:
Cr 0.0000 0.0000 0.1812  1 Cr 2.09
Cr 0.0000 0.0000 0.8188  1 Cr 2.09
Fe 0.5000 0.5000 0.0000  8 Cr 2.45
Hg 0.5000 0.5000 0.5000  8 Cr 2.88, 2 Fe 2.89, 4 Hg 3.14

formation energy = 9.694 kcal/mol of atoms
uncorrected energy = -6.582 eV/atom
total moment = 1.724 μB per formula unit


> The lowest uncorrected energy belongs to which entry?

HfTa3Si


> Look up the uncorrected energy of the first one.

-4.376 eV/atom


What did the third record say?
This record from Alexandria via LeMat-Bulk describes a relaxed structure of Cr2FeHg. The functional is PBE-GGA.

Unit cell a=3.1374 b=3.1374 c=5.7725 alpha=90.00 beta=90.00 gamma=90.00
With the nearest neighbours (Å) after each atom.
Fractional positions:
Cr 0.0000 0.0000 0.1812  1 Cr 2.09
Cr 0.0000 0.0000 0.8188  1 Cr 2.09
Fe 0.5000 0.5000 0.0000  8 Cr 2.45
Hg 0.5000 0.5000 0.5000  8 Cr 2.88, 2 Fe 2.89, 4 Hg 3.14

formation energy = 9.694 kcal/mol of atoms
uncorrected energy = -6.582 eV/atom
total moment = 1.724 μB per formula unit